one) ## BaTcIr2 (PBE)

Data for a relaxed structure of BaTcIr2.

Computed properties:
As for the space group: I4/mmm (139). As for the crystal system: tetragonal.

Cell: 5.043 5.043 5.043 Å, 127.67 127.67 77.15°
Element x y z (fractional)
Tc 0.250 0.750 0.500
Ir 0.500 0.500 0.000
Ir 0.000 0.000 0.000
Ba 0.750 0.250 0.500

---

two) ## BaTcIr2 (PBE)

Data for a relaxed structure of BaTcIr2.

Computed properties:
As for the space group: Pm (6). As for the crystal system: monoclinic.

Cell: 4.369 3.010 6.612 Å, 82.47 90.00 90.00°
Element x y z (fractional)
Ba 0.500 0.703 0.777
Tc 0.000 0.524 0.368
Ir 0.000 0.112 0.053
Ir 0.500 0.161 0.302

---

two) is preferred energetically. Next in line: 48.2 kJ/mol of atoms higher.

---

one) ## LiYFe2 (PBE)

Data for a relaxed structure of LiYFe2.

Computed properties:
As for the space group: P4/mmm (123). As for the crystal system: tetragonal.

Cell: 3.286 3.286 6.150 Å, 90.00 90.00 90.00°
Element x y z (fractional)
Li 0.500 0.500 0.250
Y 0.500 0.500 0.750
Fe 0.000 0.000 0.066
Fe 0.000 0.000 0.434

---

two) ## LiYFe2 (PBE)

Data for a relaxed structure of LiYFe2.

Computed properties:
As for the space group: C2/m (12). As for the crystal system: monoclinic.

Cell: 4.156 4.156 5.318 Å, 67.19 67.19 59.37°
Element x y z (fractional)
Y 0.250 0.250 0.250
Fe 0.450 0.450 0.652
Fe 0.050 0.050 0.848
Li 0.750 0.750 0.750

---

two) is preferred energetically. Next in line: 5.1 kJ/mol of atoms higher.

---

one) ## Al2SbBr (PBE)

Data for a relaxed structure of Al2SbBr.

Computed properties:
As for the space group: P4/mmm (123). As for the crystal system: tetragonal.

Cell: 5.342 5.342 3.292 Å, 90.00 90.00 90.00°
Element x y z (fractional)
Sb 0.000 0.500 0.500
Al 0.500 0.500 0.000
Br 0.500 0.000 0.500
Al 0.000 0.000 0.000

---

two) ## Al2SbBr (PBE)

Data for a relaxed structure of Al2SbBr.

Computed properties:
As for the space group: R-3m (166). As for the crystal system: trigonal.

Cell: 7.290 7.290 7.290 Å, 33.37 33.37 33.37°
Element x y z (fractional)
Al 0.488 0.488 0.488
Br 0.250 0.250 0.250
Al 0.012 0.012 0.012
Sb 0.750 0.750 0.750

---

two) is preferred energetically. Next in line: 9.7 kJ/mol of atoms higher.

---

one) ## Be2IrCl (PBE)

Data for a relaxed structure of Be2IrCl.

Computed properties:
As for the space group: Cmm2 (35). As for the crystal system: orthorhombic.

Cell: 2.818 2.818 9.082 Å, 90.00 90.00 119.22°
Element x y z (fractional)
Ir 0.500 0.500 0.837
Be 0.500 0.500 0.243
Cl 0.000 0.000 0.397
Be 0.000 0.000 0.023

---

two) ## Be2IrCl (PBE)

Data for a relaxed structure of Be2IrCl.

Computed properties:
As for the space group: Immm (71). As for the crystal system: orthorhombic.

Cell: 4.628 4.628 4.628 Å, 142.86 124.16 68.98°
Element x y z (fractional)
Cl 0.750 0.250 0.500
Be 0.504 0.504 0.000
Ir 0.250 0.750 0.500
Be 0.996 0.996 0.000

---

one) is preferred energetically. Next in line: 24.2 kJ/mol of atoms higher.

---

one) ## MgTc2Pb (PBE)

Data for a relaxed structure of MgTc2Pb.

Computed properties:
As for the space group: Pmmm (47). As for the crystal system: orthorhombic.

Cell: 3.454 4.504 4.498 Å, 90.00 90.00 90.00°
Element x y z (fractional)
Tc 0.000 0.000 0.000
Pb 0.000 0.500 0.500
Mg 0.500 0.000 0.500
Tc 0.500 0.500 0.000

---

two) ## MgTc2Pb (PBE)

Data for a relaxed structure of MgTc2Pb.

Computed properties:
As for the space group: Cmmm (65). As for the crystal system: orthorhombic.

Cell: 2.954 2.954 8.974 Å, 90.00 90.00 112.14°
Element x y z (fractional)
Mg 0.500 0.500 0.250
Tc 0.000 0.000 0.497
Tc 0.000 0.000 0.003
Pb 0.500 0.500 0.750

---

one) is preferred energetically. Next in line: 14.3 kJ/mol of atoms higher.

---

one) ## RbCd3Rh (PBE)

Data for a relaxed structure of RbCd3Rh.

Computed properties:
As for the space group: P1 (1). As for the crystal system: triclinic.

Cell: 7.406 7.277 7.008 Å, 118.88 61.73 89.31°
Element x y z (fractional)
Rb 0.433 0.991 0.231
Rh 0.685 0.115 0.665
Cd 0.473 0.455 0.183
Cd 0.955 0.160 0.274
Rb 0.967 0.621 0.776
Cd 0.456 0.819 0.633
Rh 0.249 0.267 0.959
Cd 0.976 0.698 0.310
Cd 0.953 0.162 0.834
Cd 0.474 0.455 0.699

---

two) ## RbCd3Rh (PBE)

Data for a relaxed structure of RbCd3Rh.

Computed properties:
As for the space group: Imma (74). As for the crystal system: orthorhombic.

Cell: 6.524 7.901 11.316 Å, 90.00 90.00 90.00°
Element x y z (fractional)
Cd 0.250 0.750 0.250
Cd 0.500 0.932 0.646
Rb 0.500 0.000 0.000
Cd 0.000 0.932 0.854
Rh 0.000 0.750 0.061
Rh 0.500 0.750 0.439
Rb 0.000 0.000 0.500
Cd 0.000 0.568 0.854
Cd 0.750 0.250 0.750
Rh 0.000 0.250 0.939
Cd 0.500 0.432 0.354
Rb 0.000 0.500 0.500
Cd 0.500 0.068 0.354
Cd 0.500 0.568 0.646
Cd 0.000 0.432 0.146
Rh 0.500 0.250 0.561
Cd 0.250 0.250 0.750
Rb 0.500 0.500 0.000
Cd 0.750 0.750 0.250
Cd 0.000 0.068 0.146

---

one) is preferred energetically. Next in line: 3.6 kJ/mol of atoms higher.